VASP calculation (PBE) on NpSnSb after structural relaxation.

```
data_NpSnSb
_cell_length_a 4.516
_cell_length_b 4.516
_cell_length_c 15.785
_cell_angle_alpha 90.00
_cell_angle_beta 90.00
_cell_angle_gamma 90.00
_symmetry_space_group_name_H-M 'I 4/m m m'
_symmetry_Int_Tables_number 139
_symmetry_space_group_name_Hall '-I 4 2'
loop_
_atom_site_label
_atom_site_type_symbol
_atom_site_fract_x
_atom_site_fract_y
_atom_site_fract_z
_atom_site_occupancy
Np1 Np 0.000 0.000 0.142 1
Sn1 Sn 0.000 0.500 0.000 1
Sb1 Sb 0.000 0.000 0.338 1
```

Calculated values
V in Å³/cell: 322
Formation energy (no corrections) in eV/atom: -0.16